Entry 1:
Entry from Alexandria: TaPtSe4 after structural relaxation (GGA-PBE).

## Properties
formation energy without anion corrections	-0.487	eV per atom
E above lowest polymorph	0.00	eV/f.u.
N(E_F)	0.526	states/eV per atom

CIF file:
```
data_TaPtSe4
_chemical_formula_sum 'Ta2 Pt2 Se8'
_symmetry_space_group_name_H-M 'C 1 2/m 1'
_symmetry_Int_Tables_number 12
_cell_length_a 13.378
_cell_length_b 3.668
_cell_length_c 6.304
_cell_angle_alpha 90.00
_cell_angle_beta 99.89
_cell_angle_gamma 90.00
loop_
_symmetry_equiv_pos_as_xyz
'x,y,z'
'-x,-y,-z'
'-x,y,-z'
'x,-y,z'
'x+1/2,y+1/2,z'
'-x+1/2,-y+1/2,-z'
'-x+1/2,y+1/2,-z'
'x+1/2,-y+1/2,z'
loop_
_atom_site_label
_atom_site_type_symbol
_atom_site_fract_x
_atom_site_fract_y
_atom_site_fract_z
Ta1 Ta 0.000 0.000 0.000
Pt1 Pt 0.000 0.500 0.500
Se1 Se 0.111 0.000 0.378
Se2 Se 0.116 0.500 0.870
```


Entry 2:
Entry from Alexandria: Zr2CrOs after structural relaxation (GGA-PBE).

## Properties
N(E_F)	1.204	states/eV per atom
DFT formation energy	0.25	eV/atom

CIF file:
```
data_Zr2CrOs
_chemical_formula_sum 'Zr4 Cr2 Os2'
_symmetry_space_group_name_H-M 'C 1 2/m 1'
_symmetry_Int_Tables_number 12
_cell_length_a 8.569
_cell_length_b 3.066
_cell_length_c 5.533
_cell_angle_alpha 90.00
_cell_angle_beta 97.23
_cell_angle_gamma 90.00
loop_
_symmetry_equiv_pos_as_xyz
'x,y,z'
'-x,-y,-z'
'-x,y,-z'
'x,-y,z'
'x+1/2,y+1/2,z'
'-x+1/2,-y+1/2,-z'
'-x+1/2,y+1/2,-z'
'x+1/2,-y+1/2,z'
loop_
_atom_site_label
_atom_site_type_symbol
_atom_site_fract_x
_atom_site_fract_y
_atom_site_fract_z
Zr1 Zr 0.247 0.000 0.251
Cr1 Cr 0.000 0.000 0.500
Os1 Os 0.000 0.500 0.000
```


Entry 3:
Entry from Alexandria: Dy12Tl5Te2 after structural relaxation (GGA-PBE).

## Properties
formation energy without anion corrections	-0.321	eV per atom
N(E_F)	0.938	states/eV per atom

CIF file:
```
data_Dy12Tl5Te2
_chemical_formula_sum 'Dy24 Tl10 Te4'
_symmetry_space_group_name_H-M 'C 1 2/m 1'
_symmetry_Int_Tables_number 12
_cell_length_a 16.499
_cell_length_b 8.398
_cell_length_c 8.697
_cell_angle_alpha 90.00
_cell_angle_beta 105.24
_cell_angle_gamma 90.00
loop_
_symmetry_equiv_pos_as_xyz
'x,y,z'
'-x,-y,-z'
'-x,y,-z'
'x,-y,z'
'x+1/2,y+1/2,z'
'-x+1/2,-y+1/2,-z'
'-x+1/2,y+1/2,-z'
'x+1/2,-y+1/2,z'
loop_
_atom_site_label
_atom_site_type_symbol
_atom_site_fract_x
_atom_site_fract_y
_atom_site_fract_z
Dy1 Dy 0.012 0.000 0.294
Dy2 Dy 0.113 0.500 0.342
Dy3 Dy 0.118 0.201 0.045
Dy4 Dy 0.184 0.216 0.688
Tl1 Tl 0.000 0.500 0.000
Tl2 Tl 0.206 0.000 0.392
Tl3 Tl 0.214 0.500 0.989
Te1 Te 0.000 0.287 0.500
```


Entry 4:
Entry from Alexandria: U2I4Br5 after structural relaxation (GGA-PBE).

## Properties
formation energy without anion corrections	-0.934	eV per atom
N(E_F)	0.673	states/eV per atom

CIF file:
```
data_U2I4Br5
_chemical_formula_sum 'U2 I4 Br5'
_symmetry_space_group_name_H-M 'P 1 2/m 1'
_symmetry_Int_Tables_number 10
_cell_length_a 7.857
_cell_length_b 4.814
_cell_length_c 13.132
_cell_angle_alpha 90.00
_cell_angle_beta 100.75
_cell_angle_gamma 90.00
loop_
_symmetry_equiv_pos_as_xyz
'x,y,z'
'-x,-y,-z'
'-x,y,-z'
'x,-y,z'
loop_
_atom_site_label
_atom_site_type_symbol
_atom_site_fract_x
_atom_site_fract_y
_atom_site_fract_z
U1 U 0.005 0.000 0.228
I1 I 0.137 0.500 0.660
I2 I 0.232 0.500 0.182
Br1 Br 0.000 0.000 0.000
Br2 Br 0.242 0.000 0.403
Br3 Br 0.333 0.000 0.860
```


Entry 5:
Entry from Alexandria: HPb2Cl2O2 after structural relaxation (GGA-PBE).

## Properties
N(E_F)	0.614	states/eV per atom
electronic total energy	-62.62	eV per cell

CIF file:
```
data_HPb2Cl2O2
_chemical_formula_sum 'H2 Pb4 Cl4 O4'
_symmetry_space_group_name_H-M 'C 1 2/m 1'
_symmetry_Int_Tables_number 12
_cell_length_a 9.138
_cell_length_b 3.882
_cell_length_c 8.305
_cell_angle_alpha 90.00
_cell_angle_beta 96.97
_cell_angle_gamma 90.00
loop_
_symmetry_equiv_pos_as_xyz
'x,y,z'
'-x,-y,-z'
'-x,y,-z'
'x,-y,z'
'x+1/2,y+1/2,z'
'-x+1/2,-y+1/2,-z'
'-x+1/2,y+1/2,-z'
'x+1/2,-y+1/2,z'
loop_
_atom_site_label
_atom_site_type_symbol
_atom_site_fract_x
_atom_site_fract_y
_atom_site_fract_z
H1 H 0.000 0.000 0.000
Pb1 Pb 0.188 0.500 0.813
Cl1 Cl 0.123 0.500 0.330
O1 O 0.127 0.000 0.966
```


Entry 6:
Entry from Alexandria: In4CoPt after structural relaxation (GGA-PBE).

## Properties
N(E_F)	1.370	states/eV per atom
DFT formation energy	0.73	eV/atom

CIF file:
```
data_In4CoPt
_chemical_formula_sum 'In16 Co4 Pt4'
_symmetry_space_group_name_H-M 'F -4 3 m'
_symmetry_Int_Tables_number 216
_symmetry_space_group_name_Hall 'F -4 2 3'
_cell_length_a 8.109
_cell_length_b 8.109
_cell_length_c 8.109
_cell_angle_alpha 90.00
_cell_angle_beta 90.00
_cell_angle_gamma 90.00
loop_
_atom_site_label
_atom_site_type_symbol
_atom_site_fract_x
_atom_site_fract_y
_atom_site_fract_z
In1 In 0.125 0.125 0.125
Co1 Co 0.000 0.000 0.500
Pt1 Pt 0.250 0.250 0.750
```


Entry 7:
Entry from Alexandria: TmTh2Rh9 after structural relaxation (GGA-PBE).

## Properties
N(E_F)	0.820	states/eV per atom
DFT formation energy	-0.60	eV/atom

CIF file:
```
data_TmTh2Rh9
_chemical_formula_sum 'Tm3 Th6 Rh27'
_symmetry_space_group_name_H-M 'R -3 m'
_symmetry_Int_Tables_number 166
_symmetry_space_group_name_Hall '-R 3 2"'
_cell_length_a 5.2732
_cell_length_b 5.2732
_cell_length_c 26.8354
_cell_angle_alpha 90.00
_cell_angle_beta 90.00
_cell_angle_gamma 120.00
loop_
_atom_site_label
_atom_site_type_symbol
_atom_site_fract_x
_atom_site_fract_y
_atom_site_fract_z
Tm1 Tm 0.0000 0.0000 0.0000
Th1 Th 0.0000 0.0000 0.1370
Rh1 Rh 0.0000 0.0000 0.3329
Rh2 Rh 0.0000 0.0000 0.5000
Rh3 Rh 0.0016 0.5008 0.9183
```


Entry 8:
Entry from Alexandria: TmSb2 after structural relaxation (GGA-PBE).

## Properties
formation energy without anion corrections	-0.597	eV per atom
N(E_F)	0.565	states/eV per atom

CIF file:
```
data_TmSb2
_chemical_formula_sum 'Tm2 Sb4'
_symmetry_space_group_name_H-M 'I 4/m m m'
_symmetry_Int_Tables_number 139
_symmetry_space_group_name_Hall '-I 4 2'
_cell_length_a 3.962
_cell_length_b 3.962
_cell_length_c 9.922
_cell_angle_alpha 90.00
_cell_angle_beta 90.00
_cell_angle_gamma 90.00
loop_
_atom_site_label
_atom_site_type_symbol
_atom_site_fract_x
_atom_site_fract_y
_atom_site_fract_z
Tm1 Tm 0.000 0.000 0.000
Sb1 Sb 0.000 0.000 0.345
```


Entry 9:
Entry from Alexandria: ErBeNi4 after structural relaxation (GGA-PBE).

## Properties
E above lowest polymorph	0.59	eV/f.u.
N(E_F)	1.478	states/eV per atom
DFT formation energy	-0.24	eV/atom

CIF file:
```
data_ErBeNi4
_chemical_formula_sum 'Er4 Be4 Ni16'
_symmetry_space_group_name_H-M 'F -4 3 m'
_symmetry_Int_Tables_number 216
_symmetry_space_group_name_Hall 'F -4 2 3'
_cell_length_a 6.798
_cell_length_b 6.798
_cell_length_c 6.798
_cell_angle_alpha 90.00
_cell_angle_beta 90.00
_cell_angle_gamma 90.00
loop_
_atom_site_label
_atom_site_type_symbol
_atom_site_fract_x
_atom_site_fract_y
_atom_site_fract_z
Er1 Er 0.000 0.000 0.000
Be1 Be 0.250 0.250 0.250
Ni1 Ni 0.124 0.124 0.624
```


Entry 10:
Entry from Alexandria: Y2ErHf after structural relaxation (GGA-PBE).

## Properties
E above lowest polymorph	0.00	eV/f.u.
N(E_F)	1.621	states/eV per atom
DFT formation energy	0.12	eV/atom

CIF file:
```
data_Y2ErHf
_chemical_formula_sum 'Y6 Er3 Hf3'
_symmetry_space_group_name_H-M 'R 3 m'
_symmetry_Int_Tables_number 160
_symmetry_space_group_name_Hall 'R 3 -2"'
_cell_length_a 3.4458
_cell_length_b 3.4458
_cell_length_c 33.5167
_cell_angle_alpha 90.00
_cell_angle_beta 90.00
_cell_angle_gamma 120.00
loop_
_atom_site_label
_atom_site_type_symbol
_atom_site_fract_x
_atom_site_fract_y
_atom_site_fract_z
Y1 Y 0.0000 0.0000 0.0000
Y2 Y 0.0000 0.0000 0.1762
Er1 Er 0.0000 0.0000 0.4216
Hf1 Hf 0.0000 0.0000 0.5879
```


Entry 11:
Entry from Alexandria: InPd3N after structural relaxation (GGA-PBE).

## Properties
formation energy without anion corrections	1.738	eV per atom
E above lowest polymorph	8.50	eV/f.u.
N(E_F)	0.494	states/eV per atom

CIF file:
```
data_InPd3N
_chemical_formula_sum 'In1 Pd3 N1'
_symmetry_space_group_name_H-M 'P m -3 m'
_symmetry_Int_Tables_number 221
_symmetry_space_group_name_Hall '-P 4 2 3'
_cell_length_a 5.054
_cell_length_b 5.054
_cell_length_c 5.054
_cell_angle_alpha 90.00
_cell_angle_beta 90.00
_cell_angle_gamma 90.00
loop_
_atom_site_label
_atom_site_type_symbol
_atom_site_fract_x
_atom_site_fract_y
_atom_site_fract_z
In1 In 0.000 0.000 0.000
Pd1 Pd 0.000 0.000 0.500
N1 N 0.500 0.500 0.500
```


Entry 12:
Entry from Alexandria: Pm4GaRh2 after structural relaxation (GGA-PBE).

## Properties
N(E_F)	0.827	states/eV per atom
DFT formation energy	-0.58	eV/atom

CIF file:
```
data_Pm4GaRh2
_chemical_formula_sum 'Pm8 Ga2 Rh4'
_symmetry_space_group_name_H-M 'P 1'
_symmetry_Int_Tables_number 1
_cell_length_a 7.023
_cell_length_b 7.116
_cell_length_c 8.589
_cell_angle_alpha 108.01
_cell_angle_beta 107.56
_cell_angle_gamma 104.84
loop_
_symmetry_equiv_pos_as_xyz
'x,y,z'
loop_
_atom_site_label
_atom_site_type_symbol
_atom_site_fract_x
_atom_site_fract_y
_atom_site_fract_z
Pm1 Pm 0.000 0.000 0.000
Pm2 Pm 0.029 0.536 0.075
Pm3 Pm 0.122 0.324 0.469
Pm4 Pm 0.409 0.292 0.898
Pm5 Pm 0.514 0.856 0.608
Pm6 Pm 0.551 0.923 0.178
Pm7 Pm 0.687 0.390 0.600
Pm8 Pm 0.948 0.787 0.474
Ga1 Ga 0.206 0.702 0.801
Ga2 Ga 0.445 0.453 0.276
Rh1 Rh 0.257 0.989 0.356
Rh2 Rh 0.587 0.657 0.859
Rh3 Rh 0.759 0.333 0.216
Rh4 Rh 0.941 0.175 0.720
```


Entry 13:
Entry from Alexandria: Ba2NaLiBr after structural relaxation (GGA-PBE).

## Properties
formation energy without anion corrections	-0.494	eV per atom
N(E_F)	1.284	states/eV per atom

CIF file:
```
data_Ba2NaLiBr
_chemical_formula_sum 'Ba2 Na1 Li1 Br1'
_symmetry_space_group_name_H-M 'P 4/m m m'
_symmetry_Int_Tables_number 123
_symmetry_space_group_name_Hall '-P 4 2'
_cell_length_a 6.694
_cell_length_b 6.694
_cell_length_c 4.935
_cell_angle_alpha 90.00
_cell_angle_beta 90.00
_cell_angle_gamma 90.00
loop_
_atom_site_label
_atom_site_type_symbol
_atom_site_fract_x
_atom_site_fract_y
_atom_site_fract_z
Ba1 Ba 0.000 0.500 0.000
Na1 Na 0.000 0.000 0.500
Li1 Li 0.500 0.500 0.500
Br1 Br 0.500 0.500 0.000
```


| no. | magnetic moment (μB/atom) |
| --- | --- |
| 1 | 0.000 |
| 2 | 0.305 |
| 3 | 0.000 |
| 4 | 0.273 |
| 5 | 0.000 |
| 6 | 0.281 |
| 7 | 0.000 |
| 8 | 0.000 |
| 9 | 0.001 |
| 10 | 0.000 |
| 11 | 0.469 |
| 12 | 0.000 |
| 13 | 0.000 |